(1)
First-principles (meta-GGA SCAN) data for PmEr3 at its PBEsol-relaxed geometry, as listed in the Alexandria database.

Unit cell a=5.542 b=7.063 c=7.063 alpha=120.00 beta=90.00 gamma=90.00
Positions (direct):
Pm: 0.750 0.333 0.667
Pm: 0.250 0.667 0.333
Er: 0.750 0.331 0.166
Er: 0.750 0.834 0.669
Er: 0.250 0.166 0.834
Er: 0.250 0.166 0.331
Er: 0.750 0.834 0.166
Er: 0.250 0.669 0.834

Summary:
Uncorrected energy = -48.74 eV per atom
Magnetization = 0.001 μB per formula unit
Polymorph energy (0 for the lowest one) = 0 meV/atom
ΔE_f = 10 meV per atom

(2)
First-principles (meta-GGA SCAN) data for CaY3Cr at its PBEsol-relaxed geometry, as listed in the Alexandria database.

Unit cell a=5.336 b=5.336 c=5.336 alpha=90.00 beta=90.00 gamma=90.00
Positions (direct):
Y: 0.500 0.000 0.000
Y: 0.000 0.500 0.000
Y: 0.000 0.000 0.500
Cr: 0.000 0.000 0.000
Ca: 0.500 0.500 0.500

Summary:
Uncorrected energy = -22.08 eV per atom
Magnetization = 2.187 μB per formula unit
ΔE_f = 232 meV per atom

> uncorrected energy of number 2 (CaY3Cr)?

-22.08 eV per atom

> Among the records above, which one has the lowest ΔE_f?

PmEr3

What did the second record say?
First-principles (meta-GGA SCAN) data for CaY3Cr at its PBEsol-relaxed geometry, as listed in the Alexandria database.

Unit cell a=5.336 b=5.336 c=5.336 alpha=90.00 beta=90.00 gamma=90.00
Positions (direct):
Y: 0.500 0.000 0.000
Y: 0.000 0.500 0.000
Y: 0.000 0.000 0.500
Cr: 0.000 0.000 0.000
Ca: 0.500 0.500 0.500

Summary:
Uncorrected energy = -22.08 eV per atom
Magnetization = 2.187 μB per formula unit
ΔE_f = 232 meV per atom